Here is an optimized crystal structure of Y2ErAlO from the Alexandria database. Energies are from GGA-PBE.

Computed properties:
E_form (uncorrected) ... -1.37 eV/atom
Space group ... P4/mmm (123)

Cell lengths 4.6532, 4.7544, 4.7544 Å; angles 90.00, 90.00, 90.00 degrees
Fractional coordinates of all 5 atoms:
Y  0.0000  0.0000  0.5000
O  0.0000  0.0000  0.0000
Er  0.5000  0.0000  0.0000
Al  0.5000  0.5000  0.5000
Y  0.0000  0.5000  0.0000

Here is an optimized crystal structure of CaDy2Hg5 from the Alexandria database. Energies are from GGA-PBE.

Computed properties:
Space group ... I4/mmm (139)
Formation energy ... -3.32 eV/f.u.

Cell lengths 5.2264, 5.2264, 8.2801 Å; angles 108.40, 108.40, 90.00 degrees
Fractional coordinates of all 8 atoms:
Dy  0.2651  0.2651  0.5301
Hg  0.8721  0.3721  0.7443
Dy  0.7349  0.7349  0.4699
Hg  0.3721  0.8721  0.7443
Hg  0.6279  0.1279  0.2557
Ca  0.0000  0.0000  0.0000
Hg  0.5000  0.5000  0.0000
Hg  0.1279  0.6279  0.2557

Here is an optimized crystal structure of CsZrF2 from the Alexandria database. Energies are from GGA-PBE.

Computed properties:
E_form (uncorrected) ... -1.06 eV/atom
Space group ... Fm-3m (225)

Cell lengths 4.8702, 4.8702, 4.8702 Å; angles 60.00, 60.00, 60.00 degrees
Last column: magnetic moment on the atom in μB.
Fractional coordinates of all 4 atoms:
F  0.7500  0.7500  0.7500  0.00
Cs  0.5000  0.5000  0.5000  0.12
Zr  0.0000  0.0000  0.0000  1.88
F  0.2500  0.2500  0.2500  0.00

Here is an optimized crystal structure of TlCd2 from the Alexandria database. Energies are from GGA-PBE.

Computed properties:
Space group ... C2/m (12)
Formation energy ... 0.14 eV/f.u.

Cell lengths 6.3686, 5.0298, 10.2532 Å; angles 90.00, 108.02, 90.00 degrees
Fractional coordinates of all 12 atoms:
Cd  0.6446  0.5000  0.3170
Cd  0.5000  0.5000  0.0000
Cd  0.5000  0.0000  0.5000
Cd  0.3554  0.5000  0.6830
Cd  0.6446  0.0000  0.8170
Tl  0.1644  0.5000  0.3524
Tl  0.1644  0.0000  0.8524
Cd  0.0000  0.0000  0.5000
Tl  0.8356  0.0000  0.1476
Tl  0.8356  0.5000  0.6476
Cd  0.0000  0.5000  0.0000
Cd  0.3554  0.0000  0.1830

Here is an optimized crystal structure of Ce2Mg16Pb from the Alexandria database. Energies are from GGA-PBE.

Computed properties:
Space group ... R3m (160)
Formation energy ... -0.64 eV/f.u.

Cell lengths 7.8204, 7.8204, 7.8204 Å; angles 82.68, 82.68, 82.68 degrees
Last column: magnetic moment on the atom in μB.
Fractional coordinates of all 19 atoms:
Mg  0.3088  0.0009  0.6924  0.00
Mg  0.0952  0.0952  0.0952  0.00
Mg  0.4949  0.0032  0.0032  0.00
Mg  0.0009  0.3088  0.6924  0.00
Mg  0.3088  0.6924  0.0009  0.00
Mg  0.0032  0.4949  0.0032  0.00
Mg  0.0032  0.0032  0.4949  0.00
Mg  0.8407  0.3487  0.3487  0.00
Mg  0.6924  0.0009  0.3088  0.00
Mg  0.6475  0.6475  0.1701  0.00
Ce  0.6711  0.6711  0.6711  1.00
Mg  0.1701  0.6475  0.6475  0.00
Mg  0.6924  0.3088  0.0009  0.00
Ce  0.3281  0.3281  0.3281  1.01
Mg  0.3487  0.3487  0.8407  0.00
Pb  0.8971  0.8971  0.8971  0.00
Mg  0.6475  0.1701  0.6475  0.00
Mg  0.0009  0.6924  0.3088  0.00
Mg  0.3487  0.8407  0.3487  0.00

Here is an optimized crystal structure of Mg3MnCd from the Alexandria database. Energies are from GGA-PBE.

Computed properties:
Space group ... Pm-3m (221)
Formation energy ... 3.37 eV/f.u.

Cell lengths 5.1861, 5.1861, 5.1861 Å; angles 90.00, 90.00, 90.00 degrees
Last column: magnetic moment on the atom in μB.
Fractional coordinates of all 5 atoms:
Mg  0.0000  0.0000  0.5000  0.00
Mn  0.5000  0.5000  0.5000  4.32
Mg  0.0000  0.5000  0.0000  -0.01
Mg  0.5000  0.0000  0.0000  0.00
Cd  0.0000  0.0000  0.0000  0.03

Here is an optimized crystal structure of RuCSeN from the Alexandria database. Energies are from GGA-PBE.

Computed properties:
E_form (uncorrected) ... 0.26 eV/atom
Space group ... P1 (1)

Cell lengths 3.7717, 3.7870, 5.2472 Å; angles 89.39, 89.39, 76.82 degrees
Fractional coordinates of all 4 atoms:
Ru  0.2691  0.1849  0.0836
Se  0.6694  0.5853  0.0908
C  0.2596  0.1751  0.4631
N  0.2558  0.1712  0.6870

Here is an optimized crystal structure of Re2HgMo from the Alexandria database. Energies are from GGA-PBE.

Computed properties:
Space group ... I-4m2 (119)
Formation energy ... 2.58 eV/f.u.

Cell lengths 4.9410, 4.9410, 4.9410 Å; angles 132.29, 132.29, 69.78 degrees
Fractional coordinates of all 4 atoms:
Re  0.2500  0.7500  0.5000
Mo  0.7500  0.2500  0.5000
Re  0.0000  0.0000  0.0000
Hg  0.5000  0.5000  0.0000